{"formula": "BaZn2Bi2", "functional": "SCAN", "state": "single point on PBEsol structure", "cell": [[-2.260, 2.260, 6.983], [2.260, -2.260, 6.983], [2.260, 2.260, -6.983]], "species": ["Ba", "Zn", "Zn", "Bi", "Bi"], "frac_coords": [[0.000, 0.000, 0.000], [0.250, 0.750, 0.500], [0.750, 0.250, 0.500], [0.372, 0.372, 0.000], [0.628, 0.628, 0.000]], "e_form_ev_per_fu": -2.02, "dos_at_fermi_per_ev_cell": 0.622, "energy_ev_per_atom": -45.15, "crystal_system": "tetragonal"}